Arrangement w

# TlTcRh2

An optimized crystal structure of TlTcRh2 (GGA-PBE, Alexandria).

The density of states at the Fermi level comes out at 4.6 states/eV/f.u. Its volume is 16.2 Å³ per atom.

The structure belongs to space group Cm (No. 8); the cell edges are 9.2622, 2.8813 and 4.9399 Å and the angles 90.00°, 100.39° and 90.00°. The asymmetric unit holds Tl at (0.0000, 0.0000, 0.0000), Tc at (0.2592, 0.5000, 0.3149), Rh at (0.2445, 0.0000, 0.7642) and Rh at (0.4966, 0.0000, 0.4918).

Arrangement x

# TlTcRh2

An optimized crystal structure of TlTcRh2 (GGA-PBE, Alexandria).

The density of states at the Fermi level comes out at 2.5 states/eV/f.u. Its volume is 16.1 Å³ per atom.

The structure belongs to space group I4/mmm (No. 139); the cell edges are 4.0633, 4.0633 and 7.8042 Å and the angles 90.00°, 90.00° and 90.00°. The asymmetric unit holds Tl at (0.0000, 0.0000, 0.0000), Tc at (0.0000, 0.0000, 0.5000) and Rh at (0.0000, 0.5000, 0.2500).

What are the relative energies? In meV per atom: arrangement w 10; arrangement x 0.